# 1
Re3WO: optimized geometry, PBE+U.

Properties
Its offset from the most stable computed form is 2811 meV/atom. The volume is 109 Å³ per cell. The crystal system is cubic.

a = 4.7826 Å, b = 4.7826 Å, c = 4.7826 Å
α = 90.00°, β = 90.00°, γ = 90.00°
With the nearest neighbours (Å) after each atom.
Space group Pm-3m (No. 221)
Inequivalent atoms, fractional coordinates:
Re (0.0000, 0.0000, 0.5000)  2 W 2.39
W (0.0000, 0.0000, 0.0000)  6 Re 2.39
O (0.5000, 0.5000, 0.5000)  12 Re 3.38

# 2
NdEr2MoO8: optimized geometry, PBE+U.

Properties
The value obtained for the total energy is -185.221 eV for the cell shown. The volume is 350 Å³ per cell. The crystal system is orthorhombic.

a = 7.0776 Å, b = 7.1339 Å, c = 6.9254 Å
α = 90.00°, β = 90.00°, γ = 90.00°
With the nearest neighbours (Å) after each atom.
Space group Cmmm (No. 65)
Inequivalent atoms, fractional coordinates:
Nd (0.0000, 0.0000, 0.0000)  6 O 2.26-2.43
Er (0.0000, 0.5000, 0.2590)  6 O 2.20-2.29
Mo (0.0000, 0.0000, 0.5000)  6 O 1.95-1.97
O (0.0000, 0.1859, 0.2943)  1 Mo 1.95
O (0.1803, 0.5000, 0.0000)  2 Er 2.20, 1 Nd 2.26
O (0.2220, 0.5000, 0.5000)  1 Mo 1.97